# BaNi2B2P6 | Alexandria | PBE | optimized geometry
data_BaNi2B2P6
_symmetry_space_group_name_H-M 'P -1'
_symmetry_Int_Tables_number 2
_cell_length_a 5.624
_cell_length_b 6.293
_cell_length_c 7.195
_cell_angle_alpha 70.84
_cell_angle_beta 67.10
_cell_angle_gamma 63.90
loop_
_symmetry_equiv_pos_as_xyz
'x,y,z'
'-x,-y,-z'
loop_
_atom_site_label
_atom_site_fract_x
_atom_site_fract_y
_atom_site_fract_z
_atom_site_occupancy
Ba1 0.000 0.000 0.000 1
Ni1 0.373 0.576 0.672 1
B1 0.371 0.079 0.179 1
P1 0.007 0.178 0.398 1
P2 0.419 0.179 0.398 1
P3 0.435 0.242 0.890 1
# magnetic moment = 0.000 Bohr magnetons per cell
# E = -5.5830 eV per atom